VASP calculation (PBE-GGA) on a relaxed Ti17N6O24 crystal.

Values from the calculation:
**Distance to the lowest polymorph of the same formula**: 0.00 eV/f.u.
**M_tot**: 0.0 μB/f.u.
**E_form (uncorrected)**: -2.65 eV per atom

Lattice parameters (Å, degrees): 7.489 7.489 10.747 74.24 74.24 80.29
Positions (direct):
1 Ti 0.110 0.217 0.500
2 Ti 0.388 0.171 0.672
3 Ti 0.286 0.508 0.809
4 Ti 0.164 0.387 0.175
5 N 0.646 0.684 0.001
6 O 0.707 0.833 0.188
7 N 0.981 0.019 0.000
8 O 0.831 0.714 0.688
9 N 0.711 0.650 0.500
10 O 0.824 0.962 0.820
11 Ti 0.177 0.945 0.318
12 O 0.340 0.752 0.358
13 O 0.406 0.002 0.870
14 Ti 0.948 0.170 0.823
15 O 0.919 0.324 0.632
16 O 0.653 0.247 0.130
17 O 0.167 0.293 0.812
18 O 0.676 0.081 0.368
19 Ti 0.555 0.445 0.000
20 Ti 0.055 0.823 0.682
21 Ti 0.829 0.612 0.328
22 O 0.074 0.675 0.873
23 N 0.316 0.354 0.999
24 O 0.376 0.499 0.187
25 N 0.020 0.980 0.500
26 O 0.956 0.839 0.312
27 O 0.325 0.926 0.127
28 O 0.038 0.176 0.180
29 O 0.588 0.993 0.631
30 O 0.161 0.044 0.688
31 Ti 0.492 0.714 0.191
32 Ti 0.613 0.836 0.825
33 N 0.350 0.289 0.500
34 O 0.753 0.347 0.870
35 Ti 0.830 0.052 0.177
36 O 0.507 0.360 0.700
37 O 0.640 0.493 0.300
38 Ti 0.783 0.890 0.500
39 Ti 0.714 0.498 0.672
40 Ti 0.221 0.116 0.999
41 O 0.007 0.412 0.369
42 Ti 0.884 0.779 0.001
43 Ti 0.502 0.286 0.328
44 O 0.501 0.624 0.813
45 O 0.248 0.660 0.642
46 O 0.998 0.594 0.130
47 O 0.286 0.169 0.312